First-principles (GGA-PBE) data for an optimized crystal structure of ZnCuHRu2, as listed in Alexandria via LeMat-Bulk.

- Calculated volume: 57.3 Å³/cell
- VASP energy: -26.23 eV per cell
- Spin magnetization: 1.38 μB per cell

Structure (CIF):
```
data_ZnCuHRu2
_chemical_formula_sum 'Zn1 Cu1 H1 Ru2'
_cell_length_a 3.881
_cell_length_b 3.881
_cell_length_c 3.804
_cell_angle_alpha 90.00
_cell_angle_beta 90.00
_cell_angle_gamma 90.00
_symmetry_space_group_name_H-M 'P 4/m m m'
_symmetry_Int_Tables_number 123
_symmetry_space_group_name_Hall '-P 4 2'
loop_
_atom_site_label
_atom_site_type_symbol
_atom_site_fract_x
_atom_site_fract_y
_atom_site_fract_z
_atom_site_occupancy
Zn1 Zn 0.000 0.000 0.000 1
Cu1 Cu 0.500 0.500 0.000 1
H1 H 0.500 0.500 0.500 1
Ru1 Ru 0.000 0.500 0.500 1
```

---

First-principles (GGA-PBE) data for an optimized crystal structure of ZnCuH2Ru, as listed in Alexandria via LeMat-Bulk.

- Calculated volume: 60.4 Å³/cell
- VASP energy: -17.70 eV per cell
- Spin magnetization: 1.09 μB per cell

Structure (CIF):
```
data_ZnCuH2Ru
_chemical_formula_sum 'Zn1 Cu1 H2 Ru1'
_cell_length_a 3.448
_cell_length_b 3.448
_cell_length_c 5.082
_cell_angle_alpha 90.00
_cell_angle_beta 90.00
_cell_angle_gamma 90.00
_symmetry_space_group_name_H-M 'P 4/m m m'
_symmetry_Int_Tables_number 123
_symmetry_space_group_name_Hall '-P 4 2'
loop_
_atom_site_label
_atom_site_type_symbol
_atom_site_fract_x
_atom_site_fract_y
_atom_site_fract_z
_atom_site_occupancy
Zn1 Zn 0.000 0.000 0.000 1
Cu1 Cu 0.500 0.500 0.500 1
H1 H 0.000 0.500 0.500 1
Ru1 Ru 0.500 0.500 0.000 1
```

---

First-principles (GGA-PBE) data for an optimized crystal structure of ZrCuHRu2, as listed in Alexandria via LeMat-Bulk.

- Calculated volume: 63.7 Å³/cell
- VASP energy: -35.28 eV per cell
- Spin magnetization: 0.00 μB per cell

Structure (CIF):
```
data_ZrCuHRu2
_chemical_formula_sum 'Zr1 Cu1 H1 Ru2'
_cell_length_a 3.944
_cell_length_b 3.944
_cell_length_c 4.094
_cell_angle_alpha 90.00
_cell_angle_beta 90.00
_cell_angle_gamma 90.00
_symmetry_space_group_name_H-M 'P 4/m m m'
_symmetry_Int_Tables_number 123
_symmetry_space_group_name_Hall '-P 4 2'
loop_
_atom_site_label
_atom_site_type_symbol
_atom_site_fract_x
_atom_site_fract_y
_atom_site_fract_z
_atom_site_occupancy
Zr1 Zr 0.000 0.000 0.000 1
Cu1 Cu 0.500 0.500 0.000 1
H1 H 0.000 0.000 0.500 1
Ru1 Ru 0.000 0.500 0.500 1
```

---

First-principles (GGA-PBE) data for an optimized crystal structure of ZrCuHRu2, as listed in Alexandria via LeMat-Bulk.

- Calculated volume: 62.8 Å³/cell
- VASP energy: -35.44 eV per cell
- Spin magnetization: 0.01 μB per cell

Structure (CIF):
```
data_ZrCuHRu2
_chemical_formula_sum 'Zr1 Cu1 H1 Ru2'
_cell_length_a 4.049
_cell_length_b 4.049
_cell_length_c 3.831
_cell_angle_alpha 90.00
_cell_angle_beta 90.00
_cell_angle_gamma 90.00
_symmetry_space_group_name_H-M 'P 4/m m m'
_symmetry_Int_Tables_number 123
_symmetry_space_group_name_Hall '-P 4 2'
loop_
_atom_site_label
_atom_site_type_symbol
_atom_site_fract_x
_atom_site_fract_y
_atom_site_fract_z
_atom_site_occupancy
Zr1 Zr 0.000 0.000 0.000 1
Cu1 Cu 0.500 0.500 0.000 1
H1 H 0.500 0.500 0.500 1
Ru1 Ru 0.000 0.500 0.500 1
```

---

First-principles (GGA-PBE) data for an optimized crystal structure of CuH2S, as listed in Alexandria via LeMat-Bulk.

- Calculated volume: 139.6 Å³/cell
- VASP energy: -45.47 eV per cell
- Spin magnetization: 0.00 μB per cell

Structure (CIF):
```
data_CuH2S
_chemical_formula_sum 'Cu4 H8 S4'
_cell_length_a 5.187
_cell_length_b 5.187
_cell_length_c 5.187
_cell_angle_alpha 90.00
_cell_angle_beta 90.00
_cell_angle_gamma 90.00
_symmetry_space_group_name_H-M 'F m -3 m'
_symmetry_Int_Tables_number 225
_symmetry_space_group_name_Hall '-F 4 2 3'
loop_
_atom_site_label
_atom_site_type_symbol
_atom_site_fract_x
_atom_site_fract_y
_atom_site_fract_z
_atom_site_occupancy
Cu1 Cu 0.000 0.000 0.000 1
H1 H 0.250 0.250 0.250 1
S1 S 0.000 0.000 0.500 1
```

---

First-principles (GGA-PBE) data for an optimized crystal structure of CuH2S, as listed in Alexandria via LeMat-Bulk.

- Calculated volume: 138.0 Å³/cell
- VASP energy: -29.86 eV per cell
- Spin magnetization: 0.00 μB per cell

Structure (CIF):
```
data_CuH2S
_chemical_formula_sum 'Cu2 H4 S2'
_cell_length_a 3.836
_cell_length_b 3.838
_cell_length_c 10.969
_cell_angle_alpha 93.21
_cell_angle_beta 96.35
_cell_angle_gamma 119.92
_symmetry_space_group_name_H-M 'P -1'
_symmetry_Int_Tables_number 2
_symmetry_space_group_name_Hall '-P 1'
loop_
_atom_site_label
_atom_site_type_symbol
_atom_site_fract_x
_atom_site_fract_y
_atom_site_fract_z
_atom_site_occupancy
Cu1 Cu 0.098 0.278 0.368 1
H1 H 0.099 0.773 0.867 1
H2 H 0.128 0.806 0.937 1
S1 S 0.443 0.954 0.391 1
```

---

First-principles (GGA-PBE) data for an optimized crystal structure of CuHS3, as listed in Alexandria via LeMat-Bulk.

- Calculated volume: 64.7 Å³/cell
- VASP energy: -14.57 eV per cell
- Spin magnetization: 0.00 μB per cell

Structure (CIF):
```
data_CuHS3
_chemical_formula_sum 'Cu1 H1 S3'
_cell_length_a 4.015
_cell_length_b 4.015
_cell_length_c 4.015
_cell_angle_alpha 90.00
_cell_angle_beta 90.00
_cell_angle_gamma 90.00
_symmetry_space_group_name_H-M 'P m -3 m'
_symmetry_Int_Tables_number 221
_symmetry_space_group_name_Hall '-P 4 2 3'
loop_
_atom_site_label
_atom_site_type_symbol
_atom_site_fract_x
_atom_site_fract_y
_atom_site_fract_z
_atom_site_occupancy
Cu1 Cu 0.000 0.000 0.000 1
H1 H 0.500 0.500 0.500 1
S1 S 0.000 0.500 0.500 1
```

---

First-principles (GGA-PBE) data for an optimized crystal structure of CuH2S, as listed in Alexandria via LeMat-Bulk.

- Calculated volume: 145.9 Å³/cell
- VASP energy: -50.45 eV per cell
- Spin magnetization: 0.00 μB per cell

Structure (CIF):
```
data_CuH2S
_chemical_formula_sum 'Cu4 H8 S4'
_cell_length_a 3.435
_cell_length_b 3.435
_cell_length_c 12.369
_cell_angle_alpha 90.00
_cell_angle_beta 90.00
_cell_angle_gamma 90.00
_symmetry_space_group_name_H-M 'I -4 2 d'
_symmetry_Int_Tables_number 122
_symmetry_space_group_name_Hall 'I -4 2bw'
loop_
_atom_site_label
_atom_site_type_symbol
_atom_site_fract_x
_atom_site_fract_y
_atom_site_fract_z
_atom_site_occupancy
Cu1 Cu 0.000 0.000 0.000 1
H1 H 0.202 0.250 0.125 1
S1 S 0.000 0.000 0.500 1
```

---

First-principles (GGA-PBE) data for an optimized crystal structure of CuHS, as listed in Alexandria via LeMat-Bulk.

- Calculated volume: 92.1 Å³/cell
- VASP energy: -24.04 eV per cell
- Spin magnetization: 0.00 μB per cell

Structure (CIF):
```
data_CuHS
_chemical_formula_sum 'Cu2 H2 S2'
_cell_length_a 4.039
_cell_length_b 4.415
_cell_length_c 5.187
_cell_angle_alpha 90.01
_cell_angle_beta 95.21
_cell_angle_gamma 90.13
_symmetry_space_group_name_H-M 'P 1'
_symmetry_Int_Tables_number 1
_symmetry_space_group_name_Hall 'P 1'
loop_
_atom_site_label
_atom_site_type_symbol
_atom_site_fract_x
_atom_site_fract_y
_atom_site_fract_z
_atom_site_occupancy
Cu1 Cu 0.000 0.000 0.000 1
Cu2 Cu 0.380 0.500 0.181 1
H1 H 0.427 0.331 0.650 1
H2 H 0.957 0.831 0.532 1
S1 S 0.474 0.154 0.866 1
S2 S 0.907 0.654 0.315 1
```

---

First-principles (GGA-PBE) data for an optimized crystal structure of CuH2S2, as listed in Alexandria via LeMat-Bulk.

- Calculated volume: 172.9 Å³/cell
- VASP energy: -38.83 eV per cell
- Spin magnetization: 1.07 μB per cell

Structure (CIF):
```
data_CuH2S2
_chemical_formula_sum 'Cu2 H4 S4'
_cell_length_a 8.031
_cell_length_b 3.408
_cell_length_c 6.957
_cell_angle_alpha 90.00
_cell_angle_beta 114.78
_cell_angle_gamma 90.00
_symmetry_space_group_name_H-M 'C 1 2/m 1'
_symmetry_Int_Tables_number 12
_symmetry_space_group_name_Hall '-C 2y'
loop_
_atom_site_label
_atom_site_type_symbol
_atom_site_fract_x
_atom_site_fract_y
_atom_site_fract_z
_atom_site_occupancy
Cu1 Cu 0.000 0.000 0.000 1
H1 H 0.121 0.500 0.354 1
S1 S 0.190 0.500 0.207 1
```

---

First-principles (GGA-PBE) data for an optimized crystal structure of CuHS2, as listed in Alexandria via LeMat-Bulk.

- Calculated volume: 180.7 Å³/cell
- VASP energy: -45.89 eV per cell
- Spin magnetization: 0.00 μB per cell

Structure (CIF):
```
data_CuHS2
_chemical_formula_sum 'Cu3 H3 S6'
_cell_length_a 3.5036
_cell_length_b 3.5036
_cell_length_c 17.0013
_cell_angle_alpha 90.00
_cell_angle_beta 90.00
_cell_angle_gamma 120.00
_symmetry_space_group_name_H-M 'R -3 m'
_symmetry_Int_Tables_number 166
_symmetry_space_group_name_Hall '-R 3 2"'
loop_
_atom_site_label
_atom_site_type_symbol
_atom_site_fract_x
_atom_site_fract_y
_atom_site_fract_z
_atom_site_occupancy
Cu1 Cu 0.0000 0.0000 0.0000 1
H1 H 0.0000 0.0000 0.5000 1
S1 S 0.0000 0.0000 0.4051 1
```

---

First-principles (GGA-PBE) data for an optimized crystal structure of CuHS6, as listed in Alexandria via LeMat-Bulk.

- Calculated volume: 210.2 Å³/cell
- VASP energy: -31.59 eV per cell
- Spin magnetization: 0.00 μB per cell

Structure (CIF):
```
data_CuHS6
_chemical_formula_sum 'Cu1 H1 S6'
_cell_length_a 5.796
_cell_length_b 5.862
_cell_length_c 6.544
_cell_angle_alpha 81.60
_cell_angle_beta 87.00
_cell_angle_gamma 72.91
_symmetry_space_group_name_H-M 'P -1'
_symmetry_Int_Tables_number 2
_symmetry_space_group_name_Hall '-P 1'
loop_
_atom_site_label
_atom_site_type_symbol
_atom_site_fract_x
_atom_site_fract_y
_atom_site_fract_z
_atom_site_occupancy
Cu1 Cu 0.000 0.000 0.000 1
H1 H 0.000 0.500 0.000 1
S1 S 0.007 0.333 0.813 1
S2 S 0.382 0.295 0.751 1
S3 S 0.463 0.027 0.333 1
```

---

First-principles (GGA-PBE) data for an optimized crystal structure of CuHS5, as listed in Alexandria via LeMat-Bulk.

- Calculated volume: 676.0 Å³/cell
- VASP energy: -107.32 eV per cell
- Spin magnetization: 0.00 μB per cell

Structure (CIF):
```
data_CuHS5
_chemical_formula_sum 'Cu4 H4 S20'
_cell_length_a 5.950
_cell_length_b 17.804
_cell_length_c 6.547
_cell_angle_alpha 90.00
_cell_angle_beta 102.90
_cell_angle_gamma 90.00
_symmetry_space_group_name_H-M 'C 1 2/c 1'
_symmetry_Int_Tables_number 15
_symmetry_space_group_name_Hall '-C 2yc'
loop_
_atom_site_label
_atom_site_type_symbol
_atom_site_fract_x
_atom_site_fract_y
_atom_site_fract_z
_atom_site_occupancy
Cu1 Cu 0.000 0.000 0.000 1
H1 H 0.000 0.009 0.250 1
S1 S 0.000 0.409 0.750 1
S2 S 0.206 0.104 0.605 1
S3 S 0.229 0.339 0.637 1
```

---

First-principles (GGA-PBE) data for an optimized crystal structure of Cu2H2S, as listed in Alexandria via LeMat-Bulk.

- Calculated volume: 178.5 Å³/cell
- VASP energy: -37.37 eV per cell
- Spin magnetization: 0.00 μB per cell

Structure (CIF):
```
data_Cu2H2S
_chemical_formula_sum 'Cu4 H4 S2'
_cell_length_a 6.985
_cell_length_b 4.033
_cell_length_c 6.674
_cell_angle_alpha 90.00
_cell_angle_beta 108.33
_cell_angle_gamma 90.00
_symmetry_space_group_name_H-M 'C 1 2/m 1'
_symmetry_Int_Tables_number 12
_symmetry_space_group_name_Hall '-C 2y'
loop_
_atom_site_label
_atom_site_type_symbol
_atom_site_fract_x
_atom_site_fract_y
_atom_site_fract_z
_atom_site_occupancy
Cu1 Cu 0.183 0.000 0.054 1
H1 H 0.012 0.000 0.559 1
S1 S 0.000 0.500 0.000 1
```